Li2B2Se5 PBE-GGA optimized geometry; total moment = 0.00 μB/cell; space-group type = C2/m (12); ΔE_f (raw) = -0.091 eV/atom
1.0
4.449 0.000 0.000
-2.224 6.203 -0.093
0.000 -1.036 6.576
Se B Li
5 2 2
direct
0.671 0.341 0.987
0.000 0.000 0.000
0.131 0.262 0.558
0.869 0.738 0.442
0.329 0.659 0.013
0.834 0.669 0.142
0.166 0.331 0.858
0.650 0.301 0.386
0.350 0.699 0.614